# 1
First-principles (PBE) data for crystalline K2Sn2Sb2As at its relaxed geometry, as listed in Alexandria via LeMat-Bulk.

a b c (Å): 6.9478 6.9478 8.6389
angles (deg): 106.93 106.93 34.97
With the nearest neighbours (Å) after each atom.
Fractional coordinates of all 7 atoms:
K: 0.0008 0.0008 0.2889  2 As 3.25, 1 Sb 3.59
K: 0.9992 0.9992 0.7111  2 As 3.25, 1 Sb 3.59
Sn: 0.2923 0.2923 0.8836  1 As 2.63
Sn: 0.7077 0.7077 0.1164  1 As 2.63
Sb: 0.2846 0.2846 0.3983  2 Sb 3.04, 2 Sn 3.13
Sb: 0.7154 0.7154 0.6017  2 Sb 3.04, 2 Sn 3.13
As: 0.5000 0.5000 0.0000  2 Sn 2.63

Results
Formation energy (no corrections) (eV/atom): -0.178



# 2
First-principles (PBE) data for crystalline CoBi6Ir at its relaxed geometry, as listed in Alexandria via LeMat-Bulk.

a b c (Å): 8.3650 8.3650 9.6790
angles (deg): 125.07 125.07 70.71
With the nearest neighbours (Å) after each atom.
Fractional coordinates of all 16 atoms:
Co: 0.0000 0.5000 0.0000  6 Bi 2.64-2.67
Co: 0.5000 0.0000 0.0000  6 Bi 2.64-2.67
Bi: 0.0069 0.3268 0.1611  1 Co 2.64, 1 Ir 2.75
Bi: 0.1609 0.8268 0.3341  1 Co 2.65, 1 Ir 2.74
Bi: 0.1732 0.8391 0.6659  1 Co 2.65, 1 Ir 2.74
Bi: 0.3268 0.0069 0.1611  1 Co 2.64, 1 Ir 2.75
Bi: 0.3371 0.3371 0.0107  2 Co 2.67
Bi: 0.3438 0.3438 0.6839  2 Ir 2.73
Bi: 0.6562 0.6562 0.3161  2 Ir 2.73
Bi: 0.6629 0.6629 0.9893  2 Co 2.67
Bi: 0.6732 0.9931 0.8389  1 Co 2.64, 1 Ir 2.75
Bi: 0.8268 0.1609 0.3341  1 Co 2.65, 1 Ir 2.74
Bi: 0.8391 0.1732 0.6659  1 Co 2.65, 1 Ir 2.74
Bi: 0.9931 0.6732 0.8389  1 Co 2.64, 1 Ir 2.75
Ir: 0.0000 0.5000 0.5000  6 Bi 2.73-2.75
Ir: 0.5000 0.0000 0.5000  6 Bi 2.73-2.75

Results
Calculated formation energy (eV/f.u.): 0.19



# 3
First-principles (PBE) data for crystalline Na2TlAsPd at its relaxed geometry, as listed in Alexandria via LeMat-Bulk.

a b c (Å): 5.4523 5.4523 4.6616
angles (deg): 90.00 90.00 90.00
With the nearest neighbours (Å) after each atom.
Fractional coordinates of all 5 atoms:
Na: 0.0000 0.5000 0.0000  2 Pd 2.73
Na: 0.5000 0.0000 0.0000  2 Pd 2.73
Tl: 0.0000 0.0000 0.5000  8 Na 3.59, 4 As 3.86
As: 0.5000 0.5000 0.5000  2 Pd 2.33
Pd: 0.5000 0.5000 0.0000  2 As 2.33

Results
Calculated formation energy (eV/f.u.): -0.85



| no. | DOS(E_F) (states/eV/atom) | total magnetic moment (μB/cell) |
| --- | --- | --- |
| 1 | 0.414 | 0.0 |
| 2 | 0.370 | 0.0 |
| 3 | 0.443 | 0.0 |